Entry 1:
Below is a relaxed MnTe2 crystal, with properties calculated at the PBE level.

The structure in POSCAR format:
```
MnTe2
1.0
7.841 0.000 0.000
-3.921 6.791 0.000
0.000 0.000 3.988
Mn Te
3 6
Cartesian
0.000 0.000 0.000 Mn
0.000 4.527 1.994 Mn
3.921 2.264 1.994 Mn
-1.065 1.844 1.994 Te
-2.359 4.086 0.000 Te
2.129 0.000 1.994 Te
1.562 2.705 0.000 Te
4.718 0.000 0.000 Te
2.856 4.947 1.994 Te
```

---

Entry 2:
Below is a relaxed MnTe crystal, with properties calculated at the PBE level.

The structure in POSCAR format:
```
MnTe
1.0
3.725 0.000 0.000
0.000 3.725 0.000
0.000 0.000 6.709
Mn Te
2 2
Cartesian
0.931 2.794 0.000 Mn
2.794 0.931 0.000 Mn
0.931 0.931 1.771 Te
2.794 2.794 4.938 Te
```

---

Entry 3:
Below is a relaxed Mn2Te crystal, with properties calculated at the PBE level.

The structure in POSCAR format:
```
Mn2Te
1.0
4.407 -1.855 0.000
4.407 1.855 0.000
-0.596 0.000 6.583
Mn Te
4 2
Cartesian
0.000 0.000 0.000 Mn
0.448 0.000 3.882 Mn
2.689 0.000 0.920 Mn
5.586 0.000 5.750 Mn
2.960 0.000 4.803 Te
5.280 0.000 1.834 Te
```

---

Entry 4:
Below is a relaxed Mn2Te3 crystal, with properties calculated at the PBE level.

The structure in POSCAR format:
```
Mn2Te3
1.0
3.932 0.000 0.000
-1.966 3.406 0.000
0.000 0.000 9.975
Mn Te
2 3
Cartesian
0.000 2.270 3.236 Mn
1.966 1.135 6.739 Mn
0.000 0.000 4.988 Te
0.000 2.270 8.215 Te
1.966 1.135 1.761 Te
```

---

Entry 5:
Below is a relaxed Mn2Te crystal, with properties calculated at the PBE level.

The structure in POSCAR format:
```
Mn2Te
1.0
6.820 0.000 0.000
-3.410 5.906 0.000
0.000 0.000 3.568
Mn Te
6 3
Cartesian
-0.900 1.560 0.000 Mn
-2.054 3.558 1.784 Mn
1.801 0.000 0.000 Mn
1.356 2.348 1.784 Mn
4.109 0.000 1.784 Mn
2.510 4.347 0.000 Mn
0.000 0.000 1.784 Te
0.000 3.938 0.000 Te
3.410 1.969 0.000 Te
```

---

Entry 6:
Below is a relaxed MnTe crystal, with properties calculated at the PBE level.

The structure in POSCAR format:
```
MnTe
1.0
7.955 0.000 0.000
0.000 3.947 0.000
-2.783 0.000 10.328
Mn Te
6 6
Cartesian
-0.785 0.987 4.473 Mn
-0.475 0.987 7.146 Mn
0.483 2.960 9.397 Mn
4.689 0.987 0.931 Mn
5.647 2.960 3.182 Mn
5.957 2.960 5.855 Mn
-2.006 2.960 8.442 Te
0.731 2.960 5.295 Te
3.080 2.960 1.823 Te
2.092 0.987 8.505 Te
4.441 0.987 5.033 Te
7.178 0.987 1.886 Te
```

---

Ordered formation energy without anion corrections results: 0.10; -0.04; 0.25; -0.16; 0.29; -0.09; unit eV/atom.